[1]
# PBE Sn2Pt3Rh, optimized geometry
# density: 14.89 g cm⁻³
# ΔE_f: -0.387 eV/atom
data_Sn2Pt3Rh
_chemical_formula_sum 'Sn4 Pt6 Rh2'
_space_group_name_H-M_alt 'P m c 21'
_space_group_IT_number 26
_cell_length_a 4.155
_cell_length_b 8.417
_cell_length_c 5.902
_cell_angle_alpha 90.00
_cell_angle_beta 90.00
_cell_angle_gamma 90.00
loop_
_space_group_symop_operation_xyz
'x,y,z'
'-x,-y,z+1/2'
'-x,y,z'
'x,-y,z+1/2'
loop_
_atom_site_label
_atom_site_type_symbol
_atom_site_fract_x
_atom_site_fract_y
_atom_site_fract_z
Sn1 Sn 0.000 0.140 0.000
Sn2 Sn 0.500 0.349 0.365
Pt1 Pt 0.000 0.176 0.547
Pt2 Pt 0.000 0.463 0.100
Pt3 Pt 0.500 0.324 0.827
Rh1 Rh 0.500 0.040 0.257

=====

[2]
# PBE CaZn2Cl, optimized geometry
# offset from the most stable computed form: 427 meV per atom
# density: 3.47 g cm⁻³
# formation energy (no corrections): -106 kJ/mol of formula units
data_CaZn2Cl
_chemical_formula_sum 'Ca3 Zn6 Cl3'
_space_group_name_H-M_alt 'R -3 m'
_space_group_IT_number 166
_space_group_name_Hall '-R 3 2"'
_cell_length_a 3.7084
_cell_length_b 3.7084
_cell_length_c 24.8787
_cell_angle_alpha 90.00
_cell_angle_beta 90.00
_cell_angle_gamma 120.00
loop_
_atom_site_label
_atom_site_type_symbol
_atom_site_fract_x
_atom_site_fract_y
_atom_site_fract_z
Ca1 Ca 0.0000 0.0000 0.0000
Zn1 Zn 0.0000 0.0000 0.2424
Cl1 Cl 0.0000 0.0000 0.5000

=====

[3]
# PBE PaFe2Sn2, optimized geometry
# density: 9.25 g cm⁻³
# ΔE_f: 0.086 eV/atom
data_PaFe2Sn2
_chemical_formula_sum 'Pa8 Fe16 Sn16'
_space_group_name_H-M_alt 'F d d d'
_space_group_IT_number 70
_cell_length_a 4.263
_cell_length_b 12.946
_cell_length_c 15.090
_cell_angle_alpha 90.00
_cell_angle_beta 90.00
_cell_angle_gamma 90.00
loop_
_space_group_symop_operation_xyz
'x,y,z'
'-x,-y,-z'
'-x+1/4,-y+1/4,z'
'x+1/4,y+1/4,-z'
'x,-y+1/4,-z+1/4'
'-x,y+1/4,z+1/4'
'-x+1/4,y,-z+1/4'
'x+1/4,-y,z+1/4'
'x,y+1/2,z+1/2'
'-x,-y+1/2,-z+1/2'
'-x+1/4,-y+3/4,z+1/2'
'x+1/4,y+3/4,-z+1/2'
'x,-y+3/4,-z+3/4'
'-x,y+3/4,z+3/4'
'-x+1/4,y+1/2,-z+3/4'
'x+1/4,-y+1/2,z+3/4'
'x+1/2,y,z+1/2'
'-x+1/2,-y,-z+1/2'
'-x+3/4,-y+1/4,z+1/2'
'x+3/4,y+1/4,-z+1/2'
'x+1/2,-y+1/4,-z+3/4'
'-x+1/2,y+1/4,z+3/4'
'-x+3/4,y,-z+3/4'
'x+3/4,-y,z+3/4'
'x+1/2,y+1/2,z'
'-x+1/2,-y+1/2,-z'
'-x+3/4,-y+3/4,z'
'x+3/4,y+3/4,-z'
'x+1/2,-y+3/4,-z+1/4'
'-x+1/2,y+3/4,z+1/4'
'-x+3/4,y+1/2,-z+1/4'
'x+3/4,-y+1/2,z+1/4'
loop_
_atom_site_label
_atom_site_type_symbol
_atom_site_fract_x
_atom_site_fract_y
_atom_site_fract_z
Pa1 Pa 0.125 0.125 0.125
Fe1 Fe 0.125 0.029 0.625
Sn1 Sn 0.125 0.125 0.461

=====

[4]
# PBE PaHgB2O6, optimized geometry
# density: 6.71 g cm⁻³
# formation energy (no corrections): -2277 kJ/mol of formula units
data_PaHgB2O6
_chemical_formula_sum 'Pa4 Hg4 B8 O24'
_space_group_name_H-M_alt 'C 1 2/c 1'
_space_group_IT_number 15
_cell_length_a 8.746
_cell_length_b 9.416
_cell_length_c 7.196
_cell_angle_alpha 90.00
_cell_angle_beta 113.38
_cell_angle_gamma 90.00
loop_
_space_group_symop_operation_xyz
'x,y,z'
'-x,-y,-z'
'-x,y,-z+1/2'
'x,-y,z+1/2'
'x+1/2,y+1/2,z'
'-x+1/2,-y+1/2,-z'
'-x+1/2,y+1/2,-z+1/2'
'x+1/2,-y+1/2,z+1/2'
loop_
_atom_site_label
_atom_site_type_symbol
_atom_site_fract_x
_atom_site_fract_y
_atom_site_fract_z
Pa1 Pa 0.000 0.088 0.250
Hg1 Hg 0.000 0.419 0.750
B1 B 0.233 0.138 0.755
O1 O 0.080 0.116 0.592
O2 O 0.165 0.253 0.246
O3 O 0.237 0.462 0.095

=====

[5]
# PBE Tl4InHg7, optimized geometry
# offset from the most stable computed form: 0 meV per atom
# density: 11.34 g cm⁻³
# ΔE_f: -0.007 eV/atom
data_Tl4InHg7
_chemical_formula_sum 'Tl4 In1 Hg7'
_space_group_name_H-M_alt 'P -3 m 1'
_space_group_IT_number 164
_space_group_name_Hall '-P 3 2"'
_cell_length_a 3.5729
_cell_length_b 3.5729
_cell_length_c 30.9436
_cell_angle_alpha 90.00
_cell_angle_beta 90.00
_cell_angle_gamma 120.00
loop_
_atom_site_label
_atom_site_type_symbol
_atom_site_fract_x
_atom_site_fract_y
_atom_site_fract_z
Tl1 Tl 0.3333 0.6667 0.1628
Tl2 Tl 0.3333 0.6667 0.4124
In1 In 0.0000 0.0000 0.0000
Hg1 Hg 0.0000 0.0000 0.2487
Hg2 Hg 0.0000 0.0000 0.5000
Hg3 Hg 0.3333 0.6667 0.6731
Hg4 Hg 0.3333 0.6667 0.9219

=====

[6]
# PBE Mg2ScAg, optimized geometry
# density: 4.11 g cm⁻³
# ΔE_f: -0.155 eV/atom
data_Mg2ScAg
_chemical_formula_sum 'Mg4 Sc2 Ag2'
_space_group_name_H-M_alt 'I -4 m 2'
_space_group_IT_number 119
_space_group_name_Hall 'I -4 -2'
_cell_length_a 4.846
_cell_length_b 4.846
_cell_length_c 6.938
_cell_angle_alpha 90.00
_cell_angle_beta 90.00
_cell_angle_gamma 90.00
loop_
_atom_site_label
_atom_site_type_symbol
_atom_site_fract_x
_atom_site_fract_y
_atom_site_fract_z
Mg1 Mg 0.000 0.000 0.000
Mg2 Mg 0.000 0.500 0.250
Sc1 Sc 0.000 0.000 0.500
Ag1 Ag 0.000 0.500 0.750

=====

[7]
# PBE BaRe2, optimized geometry
# offset from the most stable computed form: 744 meV per atom
# density: 9.83 g cm⁻³
# ΔE_f: 1.412 eV/atom
data_BaRe2
_chemical_formula_sum 'Ba2 Re4'
_space_group_name_H-M_alt 'P n n m'
_space_group_IT_number 58
_cell_length_a 3.376
_cell_length_b 8.213
_cell_length_c 6.212
_cell_angle_alpha 90.00
_cell_angle_beta 90.00
_cell_angle_gamma 90.00
loop_
_space_group_symop_operation_xyz
'x,y,z'
'-x,-y,-z'
'-x,-y,z'
'x,y,-z'
'x+1/2,-y+1/2,-z+1/2'
'-x+1/2,y+1/2,z+1/2'
'-x+1/2,y+1/2,-z+1/2'
'x+1/2,-y+1/2,z+1/2'
loop_
_atom_site_label
_atom_site_type_symbol
_atom_site_fract_x
_atom_site_fract_y
_atom_site_fract_z
Ba1 Ba 0.000 0.000 0.000
Re1 Re 0.250 0.097 0.500

=====

[8]
# PBE La2Pm2Pt2Rh, optimized geometry
# density: 8.87 g cm⁻³
# ΔE_f: -0.864 eV/atom
data_La2Pm2Pt2Rh
_chemical_formula_sum 'La4 Pm4 Pt4 Rh2'
_space_group_name_H-M_alt 'C 1 2/m 1'
_space_group_IT_number 12
_cell_length_a 14.324
_cell_length_b 3.995
_cell_length_c 7.753
_cell_angle_alpha 90.00
_cell_angle_beta 116.43
_cell_angle_gamma 90.00
loop_
_space_group_symop_operation_xyz
'x,y,z'
'-x,-y,-z'
'-x,y,-z'
'x,-y,z'
'x+1/2,y+1/2,z'
'-x+1/2,-y+1/2,-z'
'-x+1/2,y+1/2,-z'
'x+1/2,-y+1/2,z'
loop_
_atom_site_label
_atom_site_type_symbol
_atom_site_fract_x
_atom_site_fract_y
_atom_site_fract_z
La1 La 0.033 0.000 0.263
Pm1 Pm 0.215 0.500 0.779
Pt1 Pt 0.119 0.500 0.050
Rh1 Rh 0.000 0.500 0.500

=====

[9]
# PBE Y8Cu2Tc, optimized geometry
# offset from the most stable computed form: 0 meV per atom
# density: 5.42 g cm⁻³
# ΔE_f: -0.093 eV/atom
data_Y8Cu2Tc
_chemical_formula_sum 'Y16 Cu4 Tc2'
_space_group_name_H-M_alt 'C 1 2/m 1'
_space_group_IT_number 12
_cell_length_a 17.328
_cell_length_b 5.137
_cell_length_c 6.782
_cell_angle_alpha 90.00
_cell_angle_beta 108.05
_cell_angle_gamma 90.00
loop_
_space_group_symop_operation_xyz
'x,y,z'
'-x,-y,-z'
'-x,y,-z'
'x,-y,z'
'x+1/2,y+1/2,z'
'-x+1/2,-y+1/2,-z'
'-x+1/2,y+1/2,-z'
'x+1/2,-y+1/2,z'
loop_
_atom_site_label
_atom_site_type_symbol
_atom_site_fract_x
_atom_site_fract_y
_atom_site_fract_z
Y1 Y 0.032 0.000 0.298
Y2 Y 0.091 0.500 0.940
Y3 Y 0.168 0.500 0.474
Y4 Y 0.196 0.000 0.817
Cu1 Cu 0.183 0.000 0.212
Tc1 Tc 0.000 0.500 0.500

=====

[10]
# PBE Er2NpUAs4, optimized geometry
# density: 9.55 g cm⁻³
# ΔE_f: -1.113 eV/atom
data_Er2NpUAs4
_chemical_formula_sum 'Er2 Np1 U1 As4'
_space_group_name_H-M_alt 'P 1 2/m 1'
_space_group_IT_number 10
_cell_length_a 7.039
_cell_length_b 4.069
_cell_length_c 7.130
_cell_angle_alpha 90.00
_cell_angle_beta 109.24
_cell_angle_gamma 90.00
loop_
_space_group_symop_operation_xyz
'x,y,z'
'-x,-y,-z'
'-x,y,-z'
'x,-y,z'
loop_
_atom_site_label
_atom_site_type_symbol
_atom_site_fract_x
_atom_site_fract_y
_atom_site_fract_z
Er1 Er 0.000 0.000 0.000
Er2 Er 0.500 0.500 0.000
Np1 Np 0.000 0.500 0.500
U1 U 0.500 0.000 0.500
As1 As 0.251 0.000 0.751
As2 As 0.251 0.500 0.249

=====

[11]
# PBE CaZrCd2, optimized geometry
# density: 5.34 g cm⁻³
# ΔE_f: 0.285 eV/atom
data_CaZrCd2
_chemical_formula_sum 'Ca4 Zr4 Cd8'
_space_group_name_H-M_alt 'I -4 2 d'
_space_group_IT_number 122
_space_group_name_Hall 'I -4 2bw'
_cell_length_a 8.065
_cell_length_b 8.065
_cell_length_c 6.815
_cell_angle_alpha 90.00
_cell_angle_beta 90.00
_cell_angle_gamma 90.00
loop_
_atom_site_label
_atom_site_type_symbol
_atom_site_fract_x
_atom_site_fract_y
_atom_site_fract_z
Ca1 Ca 0.000 0.000 0.000
Zr1 Zr 0.000 0.000 0.500
Cd1 Cd 0.231 0.250 0.625

=====

[12]
# PBE Li4ScMo, optimized geometry
# density: 2.86 g cm⁻³
# ΔE_f: 0.438 eV/atom
data_Li4ScMo
_chemical_formula_sum 'Li16 Sc4 Mo4'
_space_group_name_H-M_alt 'F -4 3 m'
_space_group_IT_number 216
_space_group_name_Hall 'F -4 2 3'
_cell_length_a 7.319
_cell_length_b 7.319
_cell_length_c 7.319
_cell_angle_alpha 90.00
_cell_angle_beta 90.00
_cell_angle_gamma 90.00
loop_
_atom_site_label
_atom_site_type_symbol
_atom_site_fract_x
_atom_site_fract_y
_atom_site_fract_z
Li1 Li 0.123 0.123 0.123
Sc1 Sc 0.000 0.000 0.500
Mo1 Mo 0.250 0.250 0.750

=====

It is found that the size of the total moment values, taken in the order of the records, are 0.00 0.00 0.00 0.00 0.00 0.00 0.01 0.00 0.00 6.22 0.00 1.19 μB/f.u..